ScMn2In after structural relaxation, computed with GGA-PBE.

Output
Spin magnetization = 12.7 Bohr magnetons per cell
Space group = No. 12
Total energy = -6.68 eV per atom
Formation enthalpy at 0 K = 0.175 eV/atom
DOS(E_F) = 4.251 states/eV/f.u.

```
8
Lattice="9.4818 0.0000 0.0000 0.0000 3.0895 0.0000 -1.1075 0.0000 4.9638" Properties=species:S:1:pos:R:3 pbc="T T T"
Sc 0.0000 0.0000 0.0000
Sc 4.7409 1.5447 0.0000
Mn 1.5063 0.0000 3.7561
Mn 2.1271 1.5447 1.2077
Mn 6.2472 1.5447 3.7561
Mn 6.8680 0.0000 1.2077
In -0.5538 1.5447 2.4819
In 4.1871 0.0000 2.4819
```